1.
First-principles (PBE) data for crystalline Y6CdAg3 at its relaxed geometry, as listed in Alexandria.

Size of the total moment: 0.00 μB/cell
Calculated total energy: -5.039 eV/atom
V: 26.82 A^3/atom
Fermi-level density of states: 8.82 states/eV/f.u.
Energy relative to the elements: -206 kJ/mol of formula units

abc: 5.0479 9.2031 11.9493
angles: 104.90 90.00 90.00
Positions (direct):
Cd  0.7500  0.0640  0.3627
Cd  0.2500  0.9360  0.6373
Y  0.2500  0.1516  0.8910
Y  0.7500  0.4829  0.8873
Y  0.7500  0.8484  0.1090
Y  0.2500  0.5171  0.1127
Y  0.2500  0.6453  0.7156
Y  0.7500  0.1313  0.6477
Y  0.2500  0.1159  0.1612
Y  0.7500  0.3547  0.2844
Y  0.7500  0.8841  0.8388
Y  0.7500  0.7176  0.5182
Y  0.2500  0.2824  0.4818
Y  0.2500  0.8687  0.3523
Ag  0.2500  0.3367  0.7340
Ag  0.7500  0.4560  0.6289
Ag  0.7500  0.2238  0.0279
Ag  0.7500  0.6633  0.2660
Ag  0.2500  0.5440  0.3711
Ag  0.2500  0.7762  0.9721

***

2.
First-principles (PBE) data for crystalline Y5CdAg4 at its relaxed geometry, as listed in Alexandria.

Size of the total moment: 0.00 μB/cell
Calculated total energy: -4.799 eV/atom
V: 24.61 A^3/atom
Fermi-level density of states: 5.70 states/eV/f.u.
Energy relative to the elements: -323 kJ/mol of formula units

abc: 3.6520 3.6520 18.4553
angles: 90.00 90.00 90.00
Positions (direct):
Ag  0.0000  0.0000  0.2023
Ag  0.0000  0.0000  0.5988
Ag  0.0000  0.0000  0.4012
Ag  0.0000  0.0000  0.7977
Cd  0.0000  0.0000  0.0000
Y  0.5000  0.5000  0.6982
Y  0.5000  0.5000  0.1047
Y  0.5000  0.5000  0.5000
Y  0.5000  0.5000  0.8953
Y  0.5000  0.5000  0.3018

***

3.
First-principles (PBE) data for crystalline Y6Cd2Ag at its relaxed geometry, as listed in Alexandria.

Size of the total moment: 0.01 μB/cell
Calculated total energy: -4.934 eV/atom
V: 29.10 A^3/atom
Fermi-level density of states: 12.77 states/eV/f.u.
Energy relative to the elements: -91 kJ/mol of formula units

abc: 6.3060 9.3021 9.0534
angles: 90.00 80.52 90.00
Positions (direct):
Cd  0.3709  0.1051  0.2693
Cd  0.8709  0.3949  0.7693
Cd  0.6291  0.8949  0.7307
Cd  0.1291  0.6051  0.2307
Y  0.6158  0.4664  0.3015
Y  0.4144  0.8156  0.4425
Y  0.9144  0.6844  0.9425
Y  0.4005  0.8284  0.0362
Y  0.5856  0.1844  0.5575
Y  0.8842  0.9664  0.1985
Y  0.3842  0.5336  0.6985
Y  0.9005  0.6716  0.5362
Y  0.0856  0.3156  0.0575
Y  0.1158  0.0336  0.8015
Y  0.0995  0.3284  0.4638
Y  0.5995  0.1716  0.9638
Ag  0.0000  0.0000  0.5000
Ag  0.5000  0.5000  0.0000

***

4.
First-principles (PBE) data for crystalline YCd3Ag at its relaxed geometry, as listed in Alexandria.

Size of the total moment: 0.00 μB/cell
Calculated total energy: -2.594 eV/atom
V: 23.56 A^3/atom
Fermi-level density of states: 2.83 states/eV/f.u.
ΔE to the lowest computed polymorph: 0.017 eV/atom
Energy relative to the elements: -88 kJ/mol of formula units

abc: 4.2637 9.2042 12.0075
angles: 90.00 90.00 90.00
Positions (direct):
Cd  0.2500  0.0675  0.4027
Cd  0.2500  0.4173  0.6980
Cd  0.7500  0.1470  0.7986
Cd  0.2500  0.3530  0.2986
Cd  0.2500  0.5675  0.0973
Cd  0.7500  0.9325  0.5973
Cd  0.7500  0.6470  0.7014
Cd  0.2500  0.9173  0.8020
Cd  0.2500  0.8530  0.2014
Cd  0.7500  0.5827  0.3020
Cd  0.7500  0.4325  0.9027
Cd  0.7500  0.0827  0.1980
Y  0.7500  0.8185  0.9985
Y  0.2500  0.1815  0.0015
Y  0.2500  0.6815  0.4985
Y  0.7500  0.3185  0.5015
Ag  0.7500  0.8668  0.3690
Ag  0.2500  0.1332  0.6310
Ag  0.7500  0.3668  0.1310
Ag  0.2500  0.6332  0.8690

***

5.
First-principles (PBE) data for crystalline YCd6Ag at its relaxed geometry, as listed in Alexandria.

Size of the total moment: 0.00 μB/cell
Calculated total energy: -1.961 eV/atom
V: 22.99 A^3/atom
Fermi-level density of states: 2.77 states/eV/f.u.
ΔE to the lowest computed polymorph: 0.045 eV/atom
Energy relative to the elements: -85 kJ/mol of formula units

abc: 4.8564 6.0758 6.9335
angles: 115.99 90.00 90.00
Positions (direct):
Cd  0.0000  0.3355  0.1581
Cd  0.0000  0.2941  0.5881
Cd  0.0000  0.8569  0.7139
Cd  0.5000  0.6696  0.8612
Cd  0.0000  0.8226  0.1581
Cd  0.5000  0.1916  0.8612
Ag  0.5000  0.1348  0.2697
Y  0.5000  0.6949  0.3898

***

6.
First-principles (PBE) data for crystalline Y3Cd4Ag4 at its relaxed geometry, as listed in Alexandria.

Size of the total moment: 0.00 μB/cell
Calculated total energy: -3.360 eV/atom
V: 23.52 A^3/atom
Fermi-level density of states: 8.27 states/eV/f.u.
ΔE to the lowest computed polymorph: 0.024 eV/atom
Energy relative to the elements: -242 kJ/mol of formula units

abc: 3.9942 8.0551 9.2129
angles: 115.92 102.52 90.00
Positions (direct):
Ag  0.5000  0.1868  0.0000
Ag  0.2408  0.7408  0.4815
Ag  0.5000  0.8132  0.0000
Ag  0.7592  0.2592  0.5185
Cd  0.6639  0.8548  0.3278
Cd  0.3361  0.5270  0.6722
Cd  0.3361  0.1452  0.6722
Cd  0.6639  0.4730  0.3278
Y  0.1155  0.1155  0.2311
Y  0.8845  0.8845  0.7689
Y  0.0000  0.5000  0.0000

***

7.
First-principles (PBE) data for crystalline Y2CdAg2 at its relaxed geometry, as listed in Alexandria.

Size of the total moment: 0.00 μB/cell
Calculated total energy: -3.966 eV/atom
V: 26.49 A^3/atom
Fermi-level density of states: 0.91 states/eV/f.u.
ΔE to the lowest computed polymorph: 0.263 eV/atom
Energy relative to the elements: -27 kJ/mol of formula units

abc: 5.6890 5.6890 5.7383
angles: 60.28 60.28 90.00
Positions (direct):
Cd  0.0000  0.0000  0.0000
Y  0.7500  0.2500  0.5000
Y  0.2500  0.7500  0.5000
Ag  0.3452  0.3452  0.3097
Ag  0.6548  0.6548  0.6903

***

8.
First-principles (PBE) data for crystalline Y4CdAg at its relaxed geometry, as listed in Alexandria.

Size of the total moment: 2.26 μB/cell
Calculated total energy: -5.140 eV/atom
V: 27.98 A^3/atom
Fermi-level density of states: 6.18 states/eV/f.u.
ΔE to the lowest computed polymorph: 0.000 eV/atom
Energy relative to the elements: -118 kJ/mol of formula units

abc: 3.6232 3.6232 12.7873
angles: 90.00 90.00 90.00
Positions (direct):
Y  0.0000  0.0000  0.3560
Y  0.5000  0.5000  0.1593
Y  0.0000  0.0000  0.6440
Y  0.5000  0.5000  0.8407
Ag  0.5000  0.5000  0.5000
Cd  0.0000  0.0000  0.0000

***

9.
First-principles (PBE) data for crystalline Y2Cd5Ag3 at its relaxed geometry, as listed in Alexandria.

Size of the total moment: 0.00 μB/cell
Calculated total energy: -2.806 eV/atom
V: 22.63 A^3/atom
Fermi-level density of states: 6.62 states/eV/f.u.
Energy relative to the elements: -194 kJ/mol of formula units

abc: 5.9428 8.8738 8.8739
angles: 97.81 98.18 98.19
Positions (direct):
Cd  0.1425  0.9628  0.2554
Cd  0.0025  0.2751  0.2234
Cd  0.8575  0.0372  0.7446
Cd  0.6425  0.2554  0.9628
Cd  0.9975  0.7249  0.7766
Cd  0.5025  0.2234  0.2751
Cd  0.7500  0.5372  0.4628
Cd  0.3575  0.7446  0.0372
Cd  0.4975  0.7766  0.7249
Cd  0.2500  0.4628  0.5372
Y  0.8415  0.6134  0.1146
Y  0.6585  0.8854  0.3866
Y  0.3415  0.1146  0.6134
Y  0.1585  0.3866  0.8854
Ag  0.7500  0.9601  0.0399
Ag  0.8554  0.2383  0.5347
Ag  0.1446  0.7617  0.4653
Ag  0.6446  0.4653  0.7617
Ag  0.3554  0.5347  0.2383
Ag  0.2500  0.0399  0.9601

***

10.
First-principles (PBE) data for crystalline Y4CdAg at its relaxed geometry, as listed in Alexandria.

Size of the total moment: 0.00 μB/cell
Calculated total energy: -4.889 eV/atom
V: 31.19 A^3/atom
Fermi-level density of states: 7.37 states/eV/f.u.
ΔE to the lowest computed polymorph: 0.251 eV/atom
Energy relative to the elements: 28 kJ/mol of formula units

abc: 5.0816 5.0819 7.2460
angles: 89.98 89.99 90.00
Positions (direct):
Ag  0.0013  0.9973  0.4982
Y  0.0014  0.4975  0.7420
Y  0.5014  0.9975  0.7419
Y  0.5012  0.9971  0.2543
Y  0.0012  0.4971  0.2544
Cd  0.5013  0.4973  0.9981

***

11.
First-principles (PBE) data for crystalline YCd5Ag8 at its relaxed geometry, as listed in Alexandria.

Size of the total moment: 0.00 μB/cell
Calculated total energy: -2.430 eV/atom
V: 21.05 A^3/atom
Fermi-level density of states: 4.96 states/eV/f.u.
Energy relative to the elements: -16 kJ/mol of formula units

abc: 7.2710 7.2710 7.2710
angles: 111.65 105.20 111.65
Positions (direct):
Cd  0.8610  0.9291  0.2248
Cd  0.5000  0.0000  0.5000
Cd  0.7752  0.6362  0.7044
Cd  0.0682  0.3638  0.1390
Cd  0.2956  0.0709  0.9318
Ag  0.3344  0.2478  0.3819
Ag  0.6770  0.4104  0.9459
Ag  0.1341  0.7522  0.0866
Ag  0.9134  0.0475  0.6656
Ag  0.7334  0.2688  0.3230
Ag  0.0541  0.7312  0.4646
Ag  0.6181  0.9525  0.8659
Ag  0.5354  0.5896  0.2666
Y  0.2500  0.5000  0.7500

***

12.
First-principles (PBE) data for crystalline Y4Cd3Ag at its relaxed geometry, as listed in Alexandria.

Size of the total moment: 0.00 μB/cell
Calculated total energy: -4.278 eV/atom
V: 25.83 A^3/atom
Fermi-level density of states: 6.42 states/eV/f.u.
Energy relative to the elements: -268 kJ/mol of formula units

abc: 3.7160 3.7160 14.9642
angles: 90.00 90.00 90.00
Positions (direct):
Cd  0.5000  0.5000  0.5000
Cd  0.5000  0.5000  0.7522
Cd  0.5000  0.5000  0.2478
Y  0.0000  0.0000  0.6270
Y  0.0000  0.0000  0.3730
Y  0.0000  0.0000  0.1191
Y  0.0000  0.0000  0.8809
Ag  0.5000  0.5000  0.0000